Entry from Alexandria via LeMat-Bulk: a relaxed structure of SrLa2Br (PBE-GGA).

abc: 3.7674 5.7732 6.7075
angles: 90.00 90.00 90.00
Closest atoms and distances in Å follow each position.
Sites, in units of the cell vectors:
Sr1 0.5000 0.0000 0.5000  4 Br 3.45, 2 Sr 3.77, 4 La 3.85
Br1 0.0000 0.5000 0.5000  4 Sr 3.45, 2 Br 3.77, 4 La 3.85
La1 0.0000 0.0000 0.0000  6 La 3.45-3.77, 4 Sr 3.85
La2 0.5000 0.5000 0.0000  6 La 3.45-3.77, 4 Br 3.85

***

Entry from Alexandria via LeMat-Bulk: a relaxed structure of SrLaBr2 (PBE-GGA).

abc: 6.4782 6.4782 6.4782
angles: 145.23 111.70 78.98
Closest atoms and distances in Å follow each position.
Sites, in units of the cell vectors:
Sr1 0.2500 0.7500 0.5000  4 Br 3.22
Br1 0.9922 0.9922 0.0000  2 La 3.10, 2 Sr 3.22
Br2 0.5078 0.5078 0.0000  2 La 3.10, 2 Sr 3.22
La1 0.7500 0.2500 0.5000  4 Br 3.10

***

Entry from Alexandria via LeMat-Bulk: a relaxed structure of SrLaBr2 (PBE-GGA).

abc: 3.8862 7.3023 4.9272
angles: 90.00 90.00 90.00
Closest atoms and distances in Å follow each position.
Sites, in units of the cell vectors:
Sr1 0.0000 0.5000 0.5000  4 Br 3.14
Br1 0.0000 0.0000 0.0000  4 La 3.14
Br2 0.5000 0.5000 0.0000  4 Sr 3.14
La1 0.5000 0.0000 0.5000  4 Br 3.14

***

Entry from Alexandria via LeMat-Bulk: a relaxed structure of SrLaBr2 (PBE-GGA).

abc: 7.7905 7.7905 7.7905
angles: 149.42 148.05 44.81
Closest atoms and distances in Å follow each position.
Sites, in units of the cell vectors:
Sr1 0.2910 0.7910 0.5000  6 Br 3.19-3.22
Br1 0.9576 0.9576 0.0000  4 La 3.21, 2 Sr 3.22
Br2 0.7098 0.2098 0.5000  2 La 3.18, 4 Sr 3.19
La1 0.5416 0.5416 0.0000  6 Br 3.18-3.21

***

Entry from Alexandria via LeMat-Bulk: a relaxed structure of SrLaBr2 (PBE-GGA).

abc: 6.1131 3.9469 5.5942
angles: 79.76 90.00 90.00
Closest atoms and distances in Å follow each position.
Sites, in units of the cell vectors:
Sr1 0.5000 0.8800 0.8276  5 Br 3.12-3.27
Br1 0.0000 0.9739 0.9686  3 La 3.15-3.19, 2 Sr 3.19
Br2 0.5000 0.2946 0.2840  3 Sr 3.12-3.27, 2 La 3.17
La1 0.0000 0.3515 0.4198  5 Br 3.15-3.19

***

Entry from Alexandria via LeMat-Bulk: a relaxed structure of SrLaBr2 (PBE-GGA).

abc: 3.7866 3.7866 10.3328
angles: 90.00 90.00 90.00
Closest atoms and distances in Å follow each position.
Sites, in units of the cell vectors:
Sr1 0.5000 0.5000 0.7500  4 Sr 3.79
Br1 0.0000 0.0000 0.0809  4 La 3.20, 1 Br 3.50
Br2 0.0000 0.0000 0.4191  4 La 3.20, 1 Br 3.50
La1 0.5000 0.5000 0.2500  8 Br 3.20

***

Entry from Alexandria via LeMat-Bulk: a relaxed structure of SrLaBr2 (PBE-GGA).

abc: 5.1718 5.1718 6.8787
angles: 77.95 77.95 44.02
Closest atoms and distances in Å follow each position.
Sites, in units of the cell vectors:
Sr1 0.7500 0.7500 0.7500  6 Br 3.26-3.31
Br1 0.9950 0.9950 0.0101  3 La 3.20-3.24, 3 Sr 3.26-3.31
Br2 0.5050 0.5050 0.4899  3 La 3.20-3.24, 3 Sr 3.26-3.31
La1 0.2500 0.2500 0.2500  6 Br 3.20-3.24

***

Entry from Alexandria via LeMat-Bulk: a relaxed structure of SrLaBr2 (PBE-GGA).

abc: 5.4193 5.4194 3.8438
angles: 90.00 90.00 90.03
Closest atoms and distances in Å follow each position.
Sites, in units of the cell vectors:
Sr1 0.0000 0.5000 0.5000  8 Br 3.32
Br1 0.0000 0.0000 0.0000  4 La 3.32, 4 Sr 3.32
Br2 0.5000 0.5000 0.0000  4 Sr 3.32, 4 La 3.32
La1 0.5000 0.0000 0.5000  8 Br 3.32

***

E_tot for the records above, in order: -14.59; -14.77; -14.75; -14.81; -14.70; -14.61; -15.02; -14.23 eV for the cell shown
Uncorrected formation energy for the records above, in order: -345; -1203; -1199; -1215; -1187; -1163; -1265; -1069 meV/atom